Material: InGe2B
Method: DFT, GGA-PBE
State: relaxed

Properties
Its total energy is -14.50 eV for the cell shown. Its space group is No. 225. Its density of states at the Fermi level is 1.869 states/eV/f.u. The calculation puts the formation energy from the elements at 1.037 eV per atom. The polymorph energy (0 for the lowest one) comes out at 0.6635 eV/atom.

```
data_InGe2B
_chemical_formula_sum 'In1 Ge2 B1'
_space_group_name_H-M_alt 'P 1'
_space_group_IT_number 1
_space_group_name_Hall 'P 1'
_cell_length_a 4.706
_cell_length_b 4.706
_cell_length_c 4.706
_cell_angle_alpha 60.00
_cell_angle_beta 60.00
_cell_angle_gamma 60.00
loop_
_atom_site_label
_atom_site_fract_x
_atom_site_fract_y
_atom_site_fract_z
_atom_site_occupancy
In1 0.000 0.000 0.000 1
Ge1 0.250 0.250 0.250 1
Ge2 0.750 0.750 0.750 1
B1 0.500 0.500 0.500 1
```

=====

Material: CsIn2Pd2
Method: DFT, GGA-PBE
State: relaxed

Properties
Its total energy is -34.74 eV for the cell shown. Its space group is No. 127. Its density of states at the Fermi level is 1.753 states/eV/f.u. The calculation puts the formation energy from the elements at -0.131 eV per atom. The polymorph energy (0 for the lowest one) comes out at 0.1029 eV/atom.

```
data_CsIn2Pd2
_chemical_formula_sum 'Cs2 In4 Pd4'
_space_group_name_H-M_alt 'P 1'
_space_group_IT_number 1
_space_group_name_Hall 'P 1'
_cell_length_a 8.727
_cell_length_b 8.727
_cell_length_c 3.125
_cell_angle_alpha 90.00
_cell_angle_beta 90.00
_cell_angle_gamma 90.00
loop_
_atom_site_label
_atom_site_fract_x
_atom_site_fract_y
_atom_site_fract_z
_atom_site_occupancy
Cs1 0.000 0.000 0.000 1
Cs2 0.500 0.500 0.000 1
In1 0.121 0.379 0.000 1
In2 0.379 0.879 0.000 1
In3 0.621 0.121 0.000 1
In4 0.879 0.621 0.000 1
Pd1 0.170 0.670 0.500 1
Pd2 0.330 0.170 0.500 1
Pd3 0.670 0.830 0.500 1
Pd4 0.830 0.330 0.500 1
```

=====

Material: TbNdGa2
Method: DFT, GGA-PBE
State: relaxed

Properties
Its total energy is -17.76 eV for the cell shown. Its space group is No. 123. Its density of states at the Fermi level is 1.681 states/eV/f.u. The calculation puts the formation energy from the elements at -0.578 eV per atom. The polymorph energy (0 for the lowest one) comes out at 0.0259 eV/atom.

```
data_TbNdGa2
_chemical_formula_sum 'Tb1 Nd1 Ga2'
_space_group_name_H-M_alt 'P 1'
_space_group_IT_number 1
_space_group_name_Hall 'P 1'
_cell_length_a 3.645
_cell_length_b 3.645
_cell_length_c 7.268
_cell_angle_alpha 90.00
_cell_angle_beta 90.00
_cell_angle_gamma 90.00
loop_
_atom_site_label
_atom_site_fract_x
_atom_site_fract_y
_atom_site_fract_z
_atom_site_occupancy
Tb1 0.000 0.000 0.000 1
Nd1 0.000 0.000 0.500 1
Ga1 0.500 0.500 0.237 1
Ga2 0.500 0.500 0.763 1
```

=====

Material: Ce3Th3Ga2Tc
Method: DFT, GGA-PBE
State: relaxed

Properties
Its total energy is -59.03 eV for the cell shown. Its space group is No. 189. Its density of states at the Fermi level is 18.528 states/eV/f.u. The calculation puts the formation energy from the elements at -0.283 eV per atom.

```
data_Ce3Th3Ga2Tc
_chemical_formula_sum 'Ce3 Th3 Ga2 Tc1'
_space_group_name_H-M_alt 'P 1'
_space_group_IT_number 1
_space_group_name_Hall 'P 1'
_cell_length_a 8.512
_cell_length_b 8.512
_cell_length_c 3.708
_cell_angle_alpha 90.00
_cell_angle_beta 90.00
_cell_angle_gamma 120.00
loop_
_atom_site_label
_atom_site_fract_x
_atom_site_fract_y
_atom_site_fract_z
_atom_site_occupancy
Ce1 0.000 0.406 0.000 1
Ce2 0.406 0.000 0.000 1
Ce3 0.594 0.594 0.000 1
Th1 0.000 0.743 0.500 1
Th2 0.257 0.257 0.500 1
Th3 0.743 0.000 0.500 1
Ga1 0.333 0.667 0.500 1
Ga2 0.667 0.333 0.500 1
Tc1 0.000 0.000 0.000 1
```

=====

no.,spin magnetization (μB per formula unit)
1,0.00
2,0.00
3,0.00
4,1.10